No. 1
Computed, not measured: a geometry-optimized BaP2NO structure at the PBE level of DFT.

POSCAR file:
```
BaP2NO
1.0
3.7753 0.0000 0.0000
0.0000 3.7753 0.0000
0.0000 0.0000 6.9988
Ba P N O
1 2 1 1
Direct
0.0000 0.0000 0.0000
0.0000 0.5000 0.5000
0.5000 0.0000 0.5000
0.5000 0.5000 0.5000
0.5000 0.5000 0.0000
```

- energy above the lowest structure with this stoichiometry (eV per atom) = 0.000
- formation energy without anion corrections (eV/atom) = -0.006



No. 2
Computed, not measured: a geometry-optimized Al2VPb structure at the PBE level of DFT.

POSCAR file:
```
Al2VPb
1.0
0.0000 3.4438 3.4438
3.4438 0.0000 3.4438
3.4438 3.4438 0.0000
Al V Pb
2 1 1
Direct
0.2500 0.2500 0.2500
0.7500 0.7500 0.7500
0.0000 0.0000 0.0000
0.5000 0.5000 0.5000
```

- formation enthalpy at 0 K (eV/atom) = 0.52
- energy above the lowest structure with this stoichiometry (eV per atom) = 0.000



No. 3
Computed, not measured: a geometry-optimized PrCl3 structure at the PBE level of DFT.

POSCAR file:
```
PrCl3
1.0
8.3677 0.0000 0.0000
0.0000 4.0414 0.0000
-3.8235 0.0000 7.8874
Pr Cl
2 6
Direct
0.0179 0.2500 0.2576
0.9821 0.7500 0.7424
0.1654 0.2500 0.0018
0.1652 0.2500 0.6361
0.2691 0.7500 0.3621
0.7309 0.2500 0.6379
0.8348 0.7500 0.3639
0.8346 0.7500 0.9982
```

- formation energy without anion corrections (eV/atom) = -2.280



No. 4
Computed, not measured: a geometry-optimized La2GaSn8 structure at the PBE level of DFT.

POSCAR file:
```
La2GaSn8
1.0
4.7135 0.0000 0.0000
0.0000 4.7135 0.0000
0.0000 0.0000 13.9319
La Ga Sn
2 1 8
Direct
0.0000 0.0000 0.1693
0.0000 0.0000 0.8307
0.0000 0.0000 0.5000
0.0000 0.5000 0.0000
0.0000 0.5000 0.3595
0.0000 0.5000 0.6405
0.5000 0.0000 0.0000
0.5000 0.0000 0.3595
0.5000 0.0000 0.6405
0.5000 0.5000 0.1853
0.5000 0.5000 0.8147
```

- formation enthalpy at 0 K (eV/atom) = -0.36



No. 5
Computed, not measured: a geometry-optimized Pm2Sm5Rh4 structure at the PBE level of DFT.

POSCAR file:
```
Pm2Sm5Rh4
1.0
12.2076 -1.8468 0.0000
12.2076 1.8468 0.0000
-0.3985 0.0000 6.9414
Pm Sm Rh
2 5 4
Direct
0.0856 0.0856 0.1495
0.9144 0.9144 0.8505
0.1338 0.1338 0.6779
0.2313 0.2313 0.2176
0.5000 0.5000 0.5000
0.7687 0.7687 0.7824
0.8662 0.8662 0.3221
0.0272 0.0272 0.7976
0.3314 0.3314 0.0211
0.6686 0.6686 0.9789
0.9728 0.9728 0.2024
```

- formation enthalpy at 0 K (eV/atom) = -0.36



No. 6
Computed, not measured: a geometry-optimized CsHoPbSe3 structure at the PBE level of DFT.

POSCAR file:
```
CsHoPbSe3
1.0
9.2173 0.0000 0.0000
0.0000 4.2490 0.0000
-3.9463 0.0000 11.4364
Cs Ho Pb Se
2 2 2 6
Direct
0.2072 0.2500 0.2398
0.7928 0.7500 0.7602
0.3708 0.7500 0.8575
0.6292 0.2500 0.1425
0.1591 0.2500 0.5771
0.8409 0.7500 0.4229
0.1389 0.2500 0.8015
0.3713 0.7500 0.6151
0.4082 0.7500 0.0981
0.5918 0.2500 0.9019
0.6287 0.2500 0.3849
0.8611 0.7500 0.1985
```

- formation energy without anion corrections (eV/atom) = -1.298



No. 7
Computed, not measured: a geometry-optimized Na3TlHg2 structure at the PBE level of DFT.

POSCAR file:
```
Na3TlHg2
1.0
2.5121 -7.5975 0.0000
2.5121 7.5975 0.0000
0.0000 0.0000 4.1879
Na Tl Hg
3 1 2
Direct
0.0000 0.0000 0.0000
0.3283 0.6717 0.0000
0.6717 0.3283 0.0000
0.5000 0.5000 0.5000
0.1641 0.8359 0.5000
0.8359 0.1641 0.5000
```

- formation enthalpy at 0 K (eV/atom) = -0.19
- energy above the lowest structure with this stoichiometry (eV per atom) = 0.010



No. 8
Computed, not measured: a geometry-optimized ThCdGaHg structure at the PBE level of DFT.

POSCAR file:
```
ThCdGaHg
1.0
0.0000 3.6351 3.6351
3.6351 0.0000 3.6351
3.6351 3.6351 0.0000
Th Cd Ga Hg
1 1 1 1
Direct
0.0000 0.0000 0.0000
0.5000 0.5000 0.5000
0.2500 0.2500 0.2500
0.7500 0.7500 0.7500
```

- formation enthalpy at 0 K (eV/atom) = -0.21



The records above give, respectively, mass density values of 3.8, 6.3, 3.1, 7.0, 7.7, 5.5, 7.0, 10.6 Mg/m³.
The records above give, respectively, final energy values of -26.056, -18.231, -19.438, -48.821, -66.516, -27.381, -8.042, -12.520 eV/f.u..